VASP calculation (GGA-PBE) on CaTbCe after structural relaxation.

abc: 3.598 3.598 9.071
angles: 90.00 90.00 120.00
Sites, in units of the cell vectors:
Ca  0.000  0.000  0.000
Tb  0.333  0.667  0.653
Ce  0.667  0.333  0.348

The value obtained for the magnetization is 1.1 μB per formula unit. The calculation puts the volume at 101.7 Å³/cell. The symmetry is P3m1. Its calculated formation energy is 0.1392 eV/atom.


VASP calculation (GGA-PBE) on CaTb2CeTe4 after structural relaxation.

abc: 7.657 4.408 7.731
angles: 90.00 109.17 90.00
Sites, in units of the cell vectors:
Ca  0.000  0.000  0.000
Tb  0.500  0.000  0.500
Tb  0.500  0.500  0.000
Ce  0.000  0.500  0.500
Te  0.255  0.500  0.249
Te  0.257  0.000  0.756
Te  0.743  0.000  0.244
Te  0.745  0.500  0.751

The value obtained for the magnetization is 1.2 μB per formula unit. The value obtained for the uncorrected formation energy is -1.40 eV per atom. The calculation puts the volume at 246.5 Å³/cell. The symmetry is P2/m.


Question: Among the records above, which one has the lowest magnetization?
Answer: CaTbCe